No. 1
A plane-wave DFT calculation with GGA-PBE was carried out for a geometry-optimized K3TlSb structure.

Unit cell a=8.6609 b=8.6609 c=8.6609 alpha=92.86 beta=110.07 gamma=127.37
Last column: nearest neighbours and their distance in Å.
Atoms (fractional coordinates):
K (0.0848, 0.8505, 0.2711)  2 Sb 3.63-3.65, 2 Tl 3.80, 4 K 3.84-4.01
Sb (0.6924, 0.8322, 0.3602)  1 Tl 2.86
K (0.5794, 0.3505, 0.2656)  2 Sb 3.63-3.65, 2 Tl 3.80, 4 K 3.84-4.01
K (0.0477, 0.8284, 0.7193)  1 Tl 3.50, 2 Sb 3.57-3.89
Tl (0.4057, 0.8335, 0.0722)  1 Sb 2.86
K (0.5794, 0.8138, 0.7289)  2 Sb 3.63-3.65, 2 Tl 3.80, 4 K 3.84-4.01
K (0.1091, 0.3284, 0.2807)  1 Tl 3.50, 2 Sb 3.57-3.89
K (0.0848, 0.3138, 0.7344)  2 Sb 3.63-3.65, 2 Tl 3.80, 4 K 3.84-4.01
Tl (0.7613, 0.3335, 0.9278)  1 Sb 2.86
Sb (0.4720, 0.3322, 0.6398)  1 Tl 2.86

Calculated values
**Crystal system**: orthorhombic
**N(E_F)**: 0.501 states/eV/atom
**SG**: No. 46
**ΔE_f (raw)**: -0.18 eV/atom
**DFT total energy**: -2.140 eV/atom

---

No. 2
A plane-wave DFT calculation with GGA-PBE was carried out for a geometry-optimized Ti5VN3 structure.

Unit cell a=3.0145 b=7.0060 c=10.9124 alpha=108.72 beta=90.00 gamma=90.00
Last column: nearest neighbours and their distance in Å.
Atoms (fractional coordinates):
Ti (0.5000, 0.7331, 0.4663)  3 N 2.06-2.08
V (0.5000, 0.5976, 0.1951)  3 N 2.02-2.04
Ti (0.0000, 0.2968, 0.0000)  3 N 2.07-2.08
N (0.0000, 0.3361, 0.6721)  2 V 2.04, 4 Ti 2.06-2.08
Ti (0.0000, 0.3704, 0.3299)  3 N 2.06-2.08
Ti (0.5000, 0.2669, 0.5337)  3 N 2.06-2.08
N (0.5000, 0.5000, 0.0000)  2 V 2.02, 4 Ti 2.07
Ti (0.0000, 0.6296, 0.6701)  3 N 2.06-2.08
N (0.5000, 0.8328, 0.6655)  6 Ti 2.05-2.08
Ti (0.5000, 0.9321, 0.8642)  3 N 2.05-2.06
N (0.0000, 0.0000, 0.0000)  6 Ti 2.06-2.08
Ti (0.0000, 0.7032, 0.0000)  3 N 2.07-2.08
V (0.5000, 0.4024, 0.8049)  3 N 2.02-2.04
Ti (0.0000, 0.0405, 0.6701)  3 N 2.06-2.08
N (0.0000, 0.6639, 0.3279)  2 V 2.04, 4 Ti 2.06-2.08
N (0.5000, 0.1672, 0.3345)  6 Ti 2.05-2.08
Ti (0.5000, 0.0679, 0.1358)  3 N 2.05-2.06
Ti (0.0000, 0.9595, 0.3299)  3 N 2.06-2.08

Calculated values
**Crystal system**: orthorhombic
**N(E_F)**: 0.454 states/eV/atom
**SG**: No. 65
**ΔE_f (raw)**: -1.25 eV/atom
**DFT total energy**: -9.426 eV/atom

---

No. 3
A plane-wave DFT calculation with GGA-PBE was carried out for a geometry-optimized NaCd4Ga structure.

Unit cell a=5.9133 b=5.9133 c=5.9133 alpha=60.00 beta=60.00 gamma=60.00
Last column: nearest neighbours and their distance in Å.
Atoms (fractional coordinates):
Cd (0.1246, 0.6251, 0.6251)  6 Cd 2.95-2.96
Na (0.0000, 0.0000, 0.0000)  12 Cd 3.47, 4 Ga 3.62
Cd (0.6251, 0.1246, 0.6251)  6 Cd 2.95-2.96
Cd (0.6251, 0.6251, 0.6251)  6 Cd 2.95-2.96
Ga (0.2500, 0.2500, 0.2500)  12 Cd 3.47, 4 Na 3.62
Cd (0.6251, 0.6251, 0.1246)  6 Cd 2.95-2.96

Calculated values
**Crystal system**: cubic
**N(E_F)**: 0.704 states/eV/atom
**SG**: No. 216
**DFT total energy**: -1.313 eV/atom
**Energy relative to the elements**: 0.02 eV/atom

---

No. 4
A plane-wave DFT calculation with GGA-PBE was carried out for a geometry-optimized Pr2DyYTe5 structure.

Unit cell a=5.5496 b=5.5496 c=11.5658 alpha=90.00 beta=90.00 gamma=90.00
Last column: nearest neighbours and their distance in Å.
Atoms (fractional coordinates):
Te (0.5000, 0.5000, 0.0000)  2 Pr 3.87, 4 Y 3.92
Pr (0.5000, 0.5000, 0.6657)  4 Te 3.37
Te (0.0000, 0.0000, 0.7549)  1 Y 2.84, 1 Dy 2.95
Pr (0.5000, 0.5000, 0.3343)  4 Te 3.37
Te (0.5000, 0.0000, 0.5000)  2 Dy 2.77
Te (0.0000, 0.0000, 0.2451)  1 Y 2.84, 1 Dy 2.95
Te (0.0000, 0.5000, 0.5000)  2 Dy 2.77
Y (0.0000, 0.0000, 0.0000)  2 Te 2.84
Dy (0.0000, 0.0000, 0.5000)  6 Te 2.77-2.95

Calculated values
**Crystal system**: tetragonal
**N(E_F)**: 0.598 states/eV/atom
**SG**: No. 123
**ΔE_f (raw)**: -0.84 eV/atom
**DFT total energy**: -4.875 eV/atom

---

No. 5
A plane-wave DFT calculation with GGA-PBE was carried out for a geometry-optimized TmInAg2 structure.

Unit cell a=4.9110 b=4.9110 c=4.9110 alpha=60.00 beta=60.00 gamma=60.00
Last column: nearest neighbours and their distance in Å.
Atoms (fractional coordinates):
Ag (0.2500, 0.2500, 0.2500)  4 In 3.01, 4 Tm 3.01
Ag (0.7500, 0.7500, 0.7500)  4 In 3.01, 4 Tm 3.01
Tm (0.5000, 0.5000, 0.5000)  8 Ag 3.01
In (0.0000, 0.0000, 0.0000)  8 Ag 3.01

Calculated values
**Crystal system**: cubic
**N(E_F)**: 0.531 states/eV/atom
**SG**: No. 225
**DFT total energy**: -3.572 eV/atom
**Energy relative to the elements**: -0.34 eV/atom

---

No. 6
A plane-wave DFT calculation with GGA-PBE was carried out for a geometry-optimized Sr2CrHgI structure.

Unit cell a=6.2800 b=5.1604 c=6.2800 alpha=90.00 beta=90.00 gamma=90.00
Last column: nearest neighbours and their distance in Å.
Atoms (fractional coordinates):
Cr (0.0000, 0.5000, 0.0000)  2 Hg 2.58
I (0.5000, 0.5000, 0.5000)  8 Sr 4.06, 4 Cr 4.44
Hg (0.0000, 0.0000, 0.0000)  2 Cr 2.58
Sr (0.5000, 0.0000, 0.0000)  2 Hg 3.14
Sr (0.0000, 0.0000, 0.5000)  2 Hg 3.14

Calculated values
**Crystal system**: tetragonal
**N(E_F)**: 0.655 states/eV/atom
**SG**: No. 123
**ΔE_f (raw)**: -0.09 eV/atom
**DFT total energy**: -3.057 eV/atom

---

- What is the DFT total energy in the sixth record?
  -3.057 eV/atom